No. 1
## Cr2FeGeIr (PBE)

Data for an optimized crystal structure of Cr2FeGeIr.

Lattice parameters (Å, degrees): 4.6730 4.6712 4.6730 90.00 90.00 90.00
Last column: nearest neighbours and their distance in Å.
Element x y z (fractional)
Cr 0.5000 0.0000 0.0000  2 Ir 2.34
Cr 0.0000 0.0000 0.5000  2 Ir 2.34
Ir 0.0000 0.0000 0.0000  2 Ge 2.34, 4 Cr 2.34
Fe 0.5000 0.5000 0.5000  8 Cr 3.30, 4 Ge 3.30
Ge 0.0000 0.5000 0.0000  2 Ir 2.34

Calculated values
- formation enthalpy at 0 K (kcal/mol of atoms) = 29.27


No. 2
## Tb5PrNd2 (PBE)

Data for an optimized crystal structure of Tb5PrNd2.

Lattice parameters (Å, degrees): 5.1043 7.2195 14.4450 90.00 90.00 90.00
Last column: nearest neighbours and their distance in Å.
Element x y z (fractional)
Tb 0.0000 0.4986 0.2510  4 Nd 3.59-3.61, 7 Tb 3.59-3.61, 1 Pr 3.63
Tb 0.0000 0.0000 0.0000  6 Tb 3.60-3.62, 4 Nd 3.61, 2 Pr 3.61
Tb 0.0000 0.0014 0.7510  4 Nd 3.59-3.61, 7 Tb 3.59-3.61, 1 Pr 3.63
Tb 0.5000 0.7508 0.6257  4 Nd 3.59-3.63, 6 Tb 3.59-3.62, 2 Pr 3.61
Tb 0.5000 0.7492 0.1257  4 Nd 3.59-3.63, 6 Tb 3.59-3.62, 2 Pr 3.61
Tb 0.0000 0.9986 0.2490  4 Nd 3.59-3.61, 7 Tb 3.59-3.61, 1 Pr 3.63
Tb 0.0000 0.5000 0.5000  6 Tb 3.60-3.62, 4 Nd 3.61, 2 Pr 3.61
Tb 0.0000 0.5014 0.7490  4 Nd 3.59-3.61, 7 Tb 3.59-3.61, 1 Pr 3.63
Tb 0.5000 0.2508 0.8743  4 Nd 3.59-3.63, 6 Tb 3.59-3.62, 2 Pr 3.61
Tb 0.5000 0.2492 0.3743  4 Nd 3.59-3.63, 6 Tb 3.59-3.62, 2 Pr 3.61
Nd 0.5000 0.2480 0.1259  10 Tb 3.59-3.63, 2 Pr 3.62
Nd 0.5000 0.7480 0.3741  10 Tb 3.59-3.63, 2 Pr 3.62
Nd 0.5000 0.2520 0.6259  10 Tb 3.59-3.63, 2 Pr 3.62
Nd 0.5000 0.7520 0.8741  10 Tb 3.59-3.63, 2 Pr 3.62
Pr 0.0000 0.0000 0.5000  8 Tb 3.61-3.63, 4 Nd 3.62
Pr 0.0000 0.5000 0.0000  8 Tb 3.61-3.63, 4 Nd 3.62

Calculated values
- distance to the lowest polymorph of the same formula (eV per formula unit) = 0.00
- formation enthalpy at 0 K (kcal/mol of atoms) = 0.38


No. 3
## Tb2Tm6Zr (PBE)

Data for an optimized crystal structure of Tb2Tm6Zr.

Lattice parameters (Å, degrees): 5.8223 9.9164 9.9164 70.61 83.43 83.43
Last column: nearest neighbours and their distance in Å.
Element x y z (fractional)
Tm 0.0178 0.5833 0.3121  1 Zr 3.18, 4 Tm 3.33-3.53, 3 Tb 3.34-3.54
Tm 0.1446 0.3491 0.0586  4 Tm 3.18-3.38, 1 Zr 3.28, 3 Tb 3.35-3.45
Tm 0.6907 0.2139 0.9936  3 Zr 3.20-3.45, 5 Tm 3.31-3.42, 1 Tb 3.58
Tm 0.8093 0.0064 0.7861  3 Zr 3.20-3.45, 5 Tm 3.31-3.42, 1 Tb 3.58
Tm 0.5178 0.3121 0.5833  1 Zr 3.18, 4 Tm 3.33-3.53, 3 Tb 3.34-3.54
Tm 0.3554 0.9414 0.6509  4 Tm 3.18-3.38, 1 Zr 3.28, 3 Tb 3.35-3.45
Tm 0.1907 0.9936 0.2139  3 Zr 3.20-3.45, 5 Tm 3.31-3.42, 1 Tb 3.58
Tm 0.4822 0.6879 0.4167  1 Zr 3.18, 4 Tm 3.33-3.53, 3 Tb 3.34-3.54
Tm 0.6446 0.0586 0.3491  4 Tm 3.18-3.38, 1 Zr 3.28, 3 Tb 3.35-3.45
Tm 0.9822 0.4167 0.6879  1 Zr 3.18, 4 Tm 3.33-3.53, 3 Tb 3.34-3.54
Tm 0.8554 0.6509 0.9414  4 Tm 3.18-3.38, 1 Zr 3.28, 3 Tb 3.35-3.45
Tm 0.3093 0.7861 0.0064  3 Zr 3.20-3.45, 5 Tm 3.31-3.42, 1 Tb 3.58
Zr 0.7500 0.8718 0.1282  10 Tm 3.18-3.45
Zr 0.2500 0.1282 0.8718  10 Tm 3.18-3.45
Tb 0.0682 0.2253 0.4278  9 Tm 3.34-3.69, 2 Tb 3.72
Tb 0.5682 0.4278 0.2253  9 Tm 3.34-3.69, 2 Tb 3.72
Tb 0.4318 0.5722 0.7747  9 Tm 3.34-3.69, 2 Tb 3.72
Tb 0.9318 0.7747 0.5722  9 Tm 3.34-3.69, 2 Tb 3.72

Calculated values
- distance to the lowest polymorph of the same formula (eV per formula unit) = 0.46
- formation enthalpy at 0 K (kcal/mol of atoms) = 2.75


No. 4
## Sm4Y5Cd (PBE)

Data for an optimized crystal structure of Sm4Y5Cd.

Lattice parameters (Å, degrees): 5.7858 8.1268 8.1268 82.72 69.15 69.15
Last column: nearest neighbours and their distance in Å.
Element x y z (fractional)
Y 0.6495 0.0000 0.0000  2 Cd 2.78-3.01
Y 0.7747 0.9999 0.3679  1 Cd 3.05, 1 Y 3.32, 2 Sm 3.40
Y 0.1424 0.0001 0.6321  1 Cd 3.05, 1 Y 3.32, 2 Sm 3.40
Y 0.7746 0.3679 0.0001  1 Cd 3.05, 1 Y 3.32, 2 Sm 3.40
Y 0.1425 0.6321 0.9999  1 Cd 3.05, 1 Y 3.32, 2 Sm 3.40
Cd 0.1693 0.0000 0.0000  6 Y 2.78-3.05
Sm 0.7846 0.6796 0.6797  5 Y 3.40-3.77
Sm 0.4644 0.3203 0.6796  5 Y 3.40-3.77
Sm 0.1440 0.3204 0.3203  5 Y 3.40-3.77
Sm 0.4643 0.6797 0.3204  5 Y 3.40-3.77

Calculated values
- distance to the lowest polymorph of the same formula (eV per formula unit) = 1.72
- formation enthalpy at 0 K (kcal/mol of atoms) = 2.75


No. 5
## ZnCu3Ag (PBE)

Data for an optimized crystal structure of ZnCu3Ag.

Lattice parameters (Å, degrees): 6.3399 4.4092 5.3053 90.00 90.00 70.19
Last column: nearest neighbours and their distance in Å.
Element x y z (fractional)
Cu 0.6220 0.1902 0.4981  2 Zn 2.51-2.72, 7 Cu 2.55-2.69, 3 Ag 2.75
Cu 0.7412 0.6261 0.2500  6 Cu 2.55-2.69, 2 Zn 2.61-2.65, 3 Ag 2.66-2.84
Cu 0.3780 0.8098 0.5019  2 Zn 2.51-2.72, 7 Cu 2.55-2.69, 3 Ag 2.75
Cu 0.3780 0.8098 0.9981  2 Zn 2.51-2.72, 7 Cu 2.55-2.69, 3 Ag 2.75
Cu 0.6220 0.1902 0.0019  2 Zn 2.51-2.72, 7 Cu 2.55-2.69, 3 Ag 2.75
Cu 0.2588 0.3739 0.7500  6 Cu 2.55-2.69, 2 Zn 2.61-2.65, 3 Ag 2.66-2.84
Zn 0.9811 0.0043 0.2500  6 Cu 2.51-2.72, 2 Ag 2.62, 2 Zn 2.66
Zn 0.0189 0.9957 0.7500  6 Cu 2.51-2.72, 2 Ag 2.62, 2 Zn 2.66
Ag 0.7823 0.6116 0.7500  2 Zn 2.62, 9 Cu 2.66-2.84
Ag 0.2177 0.3884 0.2500  2 Zn 2.62, 9 Cu 2.66-2.84

Calculated values
- distance to the lowest polymorph of the same formula (eV per formula unit) = 0.00
- formation enthalpy at 0 K (kcal/mol of atoms) = 1.27


No. 6
## Ca4NiAg (PBE)

Data for an optimized crystal structure of Ca4NiAg.

Lattice parameters (Å, degrees): 6.5483 8.3320 8.3320 111.55 107.54 107.54
Last column: nearest neighbours and their distance in Å.
Element x y z (fractional)
Ni 0.7500 0.0015 0.9985  8 Ca 2.91-3.07
Ni 0.2500 0.9985 0.0015  8 Ca 2.91-3.07
Ag 0.2500 0.3646 0.6354  8 Ca 3.13-3.28
Ag 0.7500 0.6354 0.3646  8 Ca 3.13-3.28
Ca 0.7842 0.6492 0.7712  2 Ni 2.91-2.97, 1 Ag 3.13
Ca 0.4088 0.7074 0.0552  2 Ni 3.03-3.07, 2 Ag 3.19-3.24
Ca 0.9088 0.0552 0.7074  2 Ni 3.03-3.07, 2 Ag 3.19-3.24
Ca 0.0912 0.9448 0.2926  2 Ni 3.03-3.07, 2 Ag 3.19-3.24
Ca 0.7158 0.2288 0.3508  2 Ni 2.91-2.97, 1 Ag 3.13
Ca 0.5912 0.2926 0.9448  2 Ni 3.03-3.07, 2 Ag 3.19-3.24
Ca 0.2842 0.7712 0.6492  2 Ni 2.91-2.97, 1 Ag 3.13
Ca 0.2158 0.3508 0.2288  2 Ni 2.91-2.97, 1 Ag 3.13

Calculated values
- distance to the lowest polymorph of the same formula (eV per formula unit) = 0.00
- formation enthalpy at 0 K (kcal/mol of atoms) = -3.52


No. 7
## PmTmN (PBE)

Data for an optimized crystal structure of PmTmN.

Lattice parameters (Å, degrees): 6.6931 4.7052 6.6931 67.94 61.84 112.06
Last column: nearest neighbours and their distance in Å.
Element x y z (fractional)
N 0.7887 0.5122 0.2113  4 Tm 2.35-2.36
N 0.2764 0.4878 0.7236  4 Tm 2.35-2.36
Tm 0.7768 0.0000 0.2232  4 N 2.35-2.36
Tm 0.2883 0.0000 0.7117  4 N 2.35-2.36
Pm 0.7966 0.0000 0.7315  4 N 3.13-3.45, 4 Pm 3.23-3.45, 4 Tm 3.23-3.47
Pm 0.2685 0.0000 0.2034  4 N 3.13-3.45, 4 Pm 3.23-3.45, 4 Tm 3.23-3.47

Calculated values
- distance to the lowest polymorph of the same formula (eV per formula unit) = 1.29
- formation energy from raw total energies (eV per atom) = -0.561


No. 8
## Hf2TlCo2 (PBE)

Data for an optimized crystal structure of Hf2TlCo2.

Lattice parameters (Å, degrees): 7.7123 7.7123 3.0551 90.00 90.00 90.00
Last column: nearest neighbours and their distance in Å.
Element x y z (fractional)
Co 0.1314 0.6314 0.5000  6 Hf 2.63-2.87, 1 Co 2.87
Co 0.6314 0.8686 0.5000  6 Hf 2.63-2.87, 1 Co 2.87
Co 0.8686 0.3686 0.5000  6 Hf 2.63-2.87, 1 Co 2.87
Co 0.3686 0.1314 0.5000  6 Hf 2.63-2.87, 1 Co 2.87
Hf 0.8544 0.6456 0.0000  6 Co 2.63-2.87
Hf 0.1456 0.3544 0.0000  6 Co 2.63-2.87
Hf 0.3544 0.8544 0.0000  6 Co 2.63-2.87
Hf 0.6456 0.1456 0.0000  6 Co 2.63-2.87
Tl 0.5000 0.5000 0.0000  4 Hf 2.96, 2 Tl 3.06
Tl 0.0000 0.0000 0.0000  4 Hf 2.96, 2 Tl 3.06

Calculated values
- formation enthalpy at 0 K (kcal/mol of atoms) = 0.72


No. 9
## UTl3Co2Se6 (PBE)

Data for an optimized crystal structure of UTl3Co2Se6.

Lattice parameters (Å, degrees): 6.1978 6.1978 8.8833 96.93 96.93 120.03
Last column: nearest neighbours and their distance in Å.
Element x y z (fractional)
Co 0.3334 0.6666 0.0000  6 Se 2.43
Co 0.6666 0.3334 0.0000  6 Se 2.43
U 0.0000 0.0000 0.0000  6 Se 2.74-2.75
Se 0.0585 0.4347 0.1693  2 Co 2.43
Se 0.6830 0.6830 0.1690  2 Co 2.43
Se 0.5653 0.9415 0.8307  2 Co 2.43
Se 0.4347 0.0585 0.1693  2 Co 2.43
Se 0.9415 0.5653 0.8307  2 Co 2.43
Se 0.3170 0.3170 0.8310  2 Co 2.43
Tl 0.1670 0.8330 0.5000  6 Se 3.36-3.63, 6 Tl 3.57-3.59
Tl 0.8330 0.1670 0.5000  6 Se 3.36-3.63, 6 Tl 3.57-3.59
Tl 0.5000 0.5000 0.5000  6 Se 3.40-3.60, 6 Tl 3.58

Calculated values
- formation energy from raw total energies (eV per atom) = -0.499


No. 10
## Cd3NiCl (PBE)

Data for an optimized crystal structure of Cd3NiCl.

Lattice parameters (Å, degrees): 5.2820 5.2820 5.2820 90.00 90.00 90.00
Last column: nearest neighbours and their distance in Å.
Element x y z (fractional)
Cd 0.0000 0.5000 0.0000  2 Cl 2.64
Cd 0.5000 0.0000 0.0000  2 Cl 2.64
Cd 0.0000 0.0000 0.5000  2 Cl 2.64
Ni 0.5000 0.5000 0.5000  12 Cd 3.73
Cl 0.0000 0.0000 0.0000  6 Cd 2.64

Calculated values
- distance to the lowest polymorph of the same formula (eV per formula unit) = 4.52
- formation energy from raw total energies (eV per atom) = 0.906


No. 11
## MgAg2PdCl6 (PBE)

Data for an optimized crystal structure of MgAg2PdCl6.

Lattice parameters (Å, degrees): 7.3105 6.1215 7.7584 65.59 52.43 63.74
Last column: nearest neighbours and their distance in Å.
Element x y z (fractional)
Cl 0.7033 0.0838 0.7905  1 Pd 2.34, 1 Mg 2.60
Cl 0.0404 0.4869 0.7039  1 Mg 2.40, 1 Ag 2.60
Cl 0.9560 0.5651 0.2481  1 Pd 2.34
Cl 0.2375 0.9493 0.2729  1 Pd 2.34, 1 Mg 2.59
Cl 0.6547 0.1414 0.3238  1 Mg 2.41, 2 Ag 2.58-2.67
Cl 0.4215 0.6941 0.7727  1 Pd 2.36
Pd 0.3283 0.3195 0.0238  4 Cl 2.34-2.36
Mg 0.8408 0.8192 0.5230  5 Cl 2.40-2.66
Ag 0.4878 0.5620 0.4376  5 Cl 2.58-2.79
Ag 0.9913 0.0404 0.9189  4 Cl 2.60-2.72

Calculated values
- formation energy from raw total energies (eV per atom) = -0.812


No. 12
## Na3Pm3NpS8 (PBE)

Data for an optimized crystal structure of Na3Pm3NpS8.

Lattice parameters (Å, degrees): 8.1845 8.1843 8.2034 119.95 90.00 120.00
Last column: nearest neighbours and their distance in Å.
Element x y z (fractional)
Pm 0.5000 0.5000 0.5000  6 S 2.83
Pm 0.0000 0.5000 0.5000  6 S 2.83
Pm 0.5000 0.0000 0.5000  6 S 2.83
S 0.7440 0.4880 0.7318  3 Pm 2.83, 3 Na 2.97
S 0.7541 0.9878 0.7212  1 Np 2.71, 2 Pm 2.83, 2 Na 2.97-2.98
S 0.2560 0.5120 0.2682  3 Pm 2.83, 3 Na 2.97
S 0.2337 0.4674 0.7213  1 Np 2.71, 2 Pm 2.83, 2 Na 2.98
S 0.7663 0.5326 0.2787  1 Np 2.71, 2 Pm 2.83, 2 Na 2.98
S 0.2337 0.9878 0.7212  1 Np 2.71, 2 Pm 2.83, 2 Na 2.97-2.98
S 0.7663 0.0122 0.2788  1 Np 2.71, 2 Pm 2.83, 2 Na 2.97-2.98
S 0.2459 0.0122 0.2788  1 Np 2.71, 2 Pm 2.83, 2 Na 2.97-2.98
Np 0.0000 0.0000 0.5000  6 S 2.71
Na 0.0000 0.5000 0.0000  6 S 2.97-2.98
Na 0.0000 0.0000 0.0000  6 S 2.97-2.98
Na 0.5000 0.5000 0.0000  6 S 2.97-2.98

Calculated values
- formation energy from raw total energies (eV per atom) = -1.689